Entry from Alexandria via LeMat-Bulk: a relaxed structure of In4SiRu (PBEsol).

abc: 7.9835 7.9835 7.9835
angles: 90.00 90.00 90.00
Space group F-43m (No. 216)
One atom of each set of equivalent atoms:
In 0.1253 0.1253 0.1253 (multiplicity 16)
Si 0.2500 0.2500 0.7500 (multiplicity 4)
Ru 0.0000 0.0000 0.5000 (multiplicity 4)

Computed properties:
Formation energy (no corrections) in kJ per mole of atoms: 78.44
Volume in Å³/cell: 508.85

***

Entry from Alexandria via LeMat-Bulk: a relaxed structure of InSnRu3 (PBEsol).

abc: 4.7623 4.7623 4.7623
angles: 90.00 90.00 90.00
Space group Pm-3m (No. 221)
One atom of each set of equivalent atoms:
In 0.0000 0.0000 0.0000 (multiplicity 1)
Sn 0.5000 0.5000 0.5000 (multiplicity 1)
Ru 0.0000 0.5000 0.5000 (multiplicity 3)

Computed properties:
Total energy in eV per formula unit: -29.40
Volume in Å³/cell: 108.01

***

Entry from Alexandria via LeMat-Bulk: a relaxed structure of InSnRu2 (PBEsol).

abc: 6.3621 6.3621 6.3621
angles: 90.00 90.00 90.00
Space group Fm-3m (No. 225)
One atom of each set of equivalent atoms:
In 0.0000 0.0000 0.0000 (multiplicity 4)
Sn 0.0000 0.0000 0.5000 (multiplicity 4)
Ru 0.2500 0.2500 0.2500 (multiplicity 8)

Computed properties:
Total energy in eV per formula unit: -27.77
Volume in Å³/cell: 257.51

***

Entry from Alexandria via LeMat-Bulk: a relaxed structure of SrInRu (PBEsol).

abc: 3.5388 3.5388 11.0661
angles: 90.00 90.00 90.00
Space group I4mm (No. 107)
One atom of each set of equivalent atoms:
Sr 0.0000 0.0000 0.0000 (multiplicity 2)
In 0.0000 0.0000 0.7160 (multiplicity 2)
Ru 0.0000 0.0000 0.3057 (multiplicity 2)

Computed properties:
Total energy in eV per formula unit: -14.60
Volume in Å³/cell: 138.58

***

Entry from Alexandria via LeMat-Bulk: a relaxed structure of Sr2InRu (PBEsol).

abc: 3.6963 5.3938 10.9379
angles: 90.00 90.00 90.00
Space group Imm2 (No. 44)
One atom of each set of equivalent atoms:
Sr 0.0000 0.0000 0.0000 (multiplicity 2)
Sr 0.0000 0.5000 0.1964 (multiplicity 2)
In 0.0000 0.5000 0.7905 (multiplicity 2)
Ru 0.0000 0.0000 0.4617 (multiplicity 2)

Computed properties:
Total energy in eV per formula unit: -16.26
Volume in Å³/cell: 218.07

***

Entry from Alexandria via LeMat-Bulk: a relaxed structure of Sr2InRu (PBEsol).

abc: 7.2743 7.2743 7.2743
angles: 90.00 90.00 90.00
Space group F-43m (No. 216)
One atom of each set of equivalent atoms:
Sr 0.0000 0.0000 0.0000 (multiplicity 4)
Sr 0.2500 0.2500 0.2500 (multiplicity 4)
In 0.0000 0.0000 0.5000 (multiplicity 4)
Ru 0.2500 0.2500 0.7500 (multiplicity 4)

Computed properties:
Total energy in eV per formula unit: -15.66
Volume in Å³/cell: 384.92

***

Entry from Alexandria via LeMat-Bulk: a relaxed structure of Sr2InRu (PBEsol).

abc: 3.6571 3.6571 7.8930
angles: 90.00 90.00 90.00
Space group P4/mmm (No. 123)
One atom of each set of equivalent atoms:
Sr 0.0000 0.0000 0.2148 (multiplicity 2)
In 0.5000 0.5000 0.5000 (multiplicity 1)
Ru 0.5000 0.5000 0.0000 (multiplicity 1)

Computed properties:
Total energy in eV per formula unit: -15.84
Volume in Å³/cell: 105.56

***

Entry from Alexandria via LeMat-Bulk: a relaxed structure of TaIn2Ru (PBEsol).

abc: 3.0555 3.0555 8.1506
angles: 90.00 90.00 90.00
Space group P4mm (No. 99)
One atom of each set of equivalent atoms:
Ta 0.0000 0.0000 0.0000 (multiplicity 1)
In 0.0000 0.0000 0.5874 (multiplicity 1)
In 0.5000 0.5000 0.2603 (multiplicity 1)
Ru 0.5000 0.5000 0.8190 (multiplicity 1)

Computed properties:
Excess energy over the best structure of this formula in the dataset in eV per formula unit: 0.00
Volume in Å³/cell: 76.09

***

Question: Look up the volume of the fourth one.
Answer: 138.58 Å³/cell